No. 1
36
Lattice="-0.370 3.232 -2.418 -15.245 -4.484 -3.658 -6.038 9.461 13.569" Properties=species:S:1:pos:R:3 comment="KBi3S5 (SCAN, PBEsol geometry)" e_form_raw_ev_per_atom=-0.533 vol_a3_per_atom=32.329 space_group=Pnma rho_g_cm3=4.7 dft_energy_ev_per_atom=-33.0002 crystal_system=orthorhombic pbc="T T T"
S -14.941 -0.216 0.301
S -5.017 1.297 -2.594
S -3.149 6.060 3.486
S -11.291 0.742 1.022
S -15.372 3.336 1.717
S -6.713 8.424 7.192
S -8.974 1.004 -2.380
S -15.285 3.737 5.637
S -14.909 7.082 6.653
S -6.281 4.873 5.776
S -18.504 2.149 4.007
S -16.636 6.912 10.087
S -8.770 7.713 9.953
S -6.744 1.127 0.840
S -6.368 4.472 1.856
S -18.434 5.930 5.652
S -3.219 2.279 1.841
S -12.883 0.496 -2.460
S -10.362 7.467 6.471
S -12.679 7.205 9.873
Bi -16.561 5.037 7.570
Bi -17.016 4.623 3.689
Bi -13.408 2.017 -0.347
Bi -5.092 3.172 -0.077
Bi -5.046 7.293 5.425
Bi -10.797 9.063 8.670
Bi -8.245 6.192 7.840
Bi -4.637 3.586 3.804
Bi -16.607 0.915 2.068
Bi -6.668 -0.472 -1.309
Bi -10.856 -0.854 -1.177
Bi -14.985 8.681 8.801
K -12.467 5.236 7.209
K -16.422 0.125 -2.414
K -9.187 2.973 0.284
K -5.231 8.084 9.907

=====

No. 2
28
Lattice="-2.064 -5.870 1.716 6.222 -1.774 1.415 -1.598 6.374 15.016" Properties=species:S:1:pos:R:3 comment="KSiBiS4 (SCAN, PBEsol geometry)" e_form_raw_ev_per_atom=-0.872 vol_a3_per_atom=24.946 space_group=P2_1/c rho_g_cm3=3.8 dft_energy_ev_per_atom=-20.2198 crystal_system=monoclinic pbc="T T T"
S 2.885 2.615 11.969
S 2.587 -0.939 2.977
S 3.855 -1.571 12.048
S 5.727 -1.622 3.768
S 2.319 -3.554 8.782
S 0.083 -3.859 2.732
S -3.167 0.351 14.379
S 0.791 -0.484 11.428
S 0.242 2.284 9.365
S -0.026 -0.331 15.170
S -1.294 0.301 6.099
S 2.477 2.589 15.415
S -0.325 -3.886 6.178
S -0.844 2.451 12.658
S 3.404 -3.721 5.489
S 1.769 -0.786 6.719
Si -0.502 1.148 10.985
Si -0.570 -5.020 4.372
Si 3.131 3.750 13.775
Si 3.062 -2.418 7.162
K -0.710 -1.829 8.625
K 3.056 -5.569 2.876
K -0.495 4.298 15.271
K 3.271 0.558 9.522
Bi -1.342 -1.539 12.899
Bi 2.544 0.386 13.722
Bi 0.016 -1.656 4.425
Bi 3.903 0.269 5.248